Below is a geometry-optimized Li7Co5O12 structure, with properties calculated at the GGA+U level.

abc: 7.5432 7.5432 11.8009
angles: 55.15 55.15 21.91
Atoms (fractional coordinates):
Li: 0.5021 0.5021 0.7517
O: 0.6604 0.6604 0.3801
O: 0.3396 0.3396 0.6199
Co: 0.5000 0.5000 0.5000
Li: 0.8328 0.8328 0.7493
O: 0.9870 0.9870 0.8806
Li: 0.8404 0.8404 0.2399
Co: 0.8311 0.8311 0.5060
O: 0.6678 0.6678 0.8944
Co: 0.8384 0.8384 0.9951
Li: 0.1596 0.1596 0.7601
Co: 0.1616 0.1616 0.0049
O: 0.3258 0.3258 0.8939
O: 0.0107 0.0107 0.6033
O: 0.3322 0.3322 0.1056
O: 0.6751 0.6751 0.6162
O: 0.3249 0.3249 0.3838
Li: 0.5000 0.5000 0.0000
Li: 0.1672 0.1672 0.2507
O: 0.6742 0.6742 0.1061
Co: 0.1689 0.1689 0.4940
O: 0.9893 0.9893 0.3967
O: 0.0130 0.0130 0.1194
Li: 0.4979 0.4979 0.2483

Properties
* energy above the lowest structure with this stoichiometry: 0.072 eV/atom
* total moment: 2.00 μB per cell
* space group: No. 12
* VASP energy: -5.488 eV/atom